No. 1
A geometry-optimized PmTa2CdO8 structure. Source: Alexandria, functional GGA-PBE.

Properties
- crystal system = tetragonal
- space-group type = I-4 (82)

extended XYZ file:
```
12
Lattice="-2.6671 2.6671 5.5974 2.6671 -2.6671 5.5974 2.6671 2.6671 -5.5974" Properties=species:S:1:pos:R:3 pbc="T T T"
Pm 0.0000 0.0000 0.0000
Ta 0.0000 0.0000 5.5974
Ta 0.0000 2.6671 2.7987
Cd 2.6671 0.0000 2.7987
O 1.3871 0.9366 -1.7640
O 1.2829 -0.9473 4.5782
O 1.7198 1.3842 1.0191
O 1.7306 -1.2800 7.3614
O 1.3842 3.6144 -1.0191
O 1.2800 1.7306 3.8333
O 0.9473 1.2829 6.6165
O 0.9366 3.9471 1.7640
```


No. 2
A geometry-optimized PmTaCd2O6 structure. Source: Alexandria, functional GGA-PBE.

Properties
- crystal system = trigonal
- space-group type = R3 (146)

extended XYZ file:
```
10
Lattice="2.8567 1.6493 5.0039 -2.8567 1.6493 5.0039 0.0000 -3.2986 5.0039" Properties=species:S:1:pos:R:3 pbc="T T T"
Pm 0.0000 0.0000 0.0000
Ta 0.0000 0.0000 7.5729
Cd 0.0000 0.0000 3.4098
Cd 0.0000 0.0000 10.8514
O -0.6836 -1.5670 6.5947
O -1.5726 -0.0854 8.9371
O -1.0152 1.3755 6.5947
O 0.8603 -1.3192 8.9371
O 1.6988 0.1914 6.5947
O 0.7123 1.4046 8.9371
```


No. 3
A geometry-optimized TbPm2CdO structure. Source: Alexandria, functional GGA-PBE.

Properties
- crystal system = tetragonal
- space-group type = P4/mmm (123)

extended XYZ file:
```
5
Lattice="4.9512 0.0000 0.0000 0.0000 4.9512 0.0000 0.0000 0.0000 4.8044" Properties=species:S:1:pos:R:3 pbc="T T T"
Tb 0.0000 0.0000 0.0000
Pm 0.0000 2.4756 2.4022
Pm 2.4756 0.0000 2.4022
Cd 2.4756 2.4756 0.0000
O 0.0000 0.0000 2.4022
```


No. 4
A geometry-optimized Tb2PmCdO structure. Source: Alexandria, functional GGA-PBE.

Properties
- crystal system = tetragonal
- space-group type = P4/mmm (123)

extended XYZ file:
```
5
Lattice="4.8180 0.0000 0.0000 0.0000 4.8180 0.0000 0.0000 0.0000 4.9360" Properties=species:S:1:pos:R:3 pbc="T T T"
Tb 0.0000 2.4090 0.0000
Tb 2.4090 0.0000 0.0000
Pm 0.0000 0.0000 2.4680
Cd 2.4090 2.4090 2.4680
O 0.0000 0.0000 0.0000
```


No. 5
A geometry-optimized PmCdTc2O8 structure. Source: Alexandria, functional GGA-PBE.

Properties
- crystal system = tetragonal
- space-group type = I-4 (82)

extended XYZ file:
```
12
Lattice="-2.6325 2.6325 5.7853 2.6325 -2.6325 5.7853 2.6325 2.6325 -5.7853" Properties=species:S:1:pos:R:3 pbc="T T T"
Pm 0.0000 0.0000 0.0000
Cd 2.6325 0.0000 2.8926
Tc 0.0000 0.0000 5.7853
Tc 0.0000 2.6325 2.8926
O 1.3211 -0.8440 4.8456
O 1.7885 1.3113 0.9397
O -0.8313 1.3261 1.9308
O 1.3113 3.4765 -0.9397
O 1.3064 1.8012 3.8545
O 0.8440 1.3211 6.7250
O 0.8313 3.9389 1.9308
O -1.3064 3.4638 3.8545
```


No. 6
A geometry-optimized PmCd2TcO6 structure. Source: Alexandria, functional GGA-PBE.

Properties
- crystal system = tetragonal
- space-group type = P4mm (99)

extended XYZ file:
```
10
Lattice="5.7899 0.0000 0.0000 0.0000 5.7899 0.0000 0.0000 0.0000 4.7762" Properties=species:S:1:pos:R:3 pbc="T T T"
Pm 0.0000 0.0000 0.0000
Cd 0.0000 2.8950 1.7555
Cd 2.8950 0.0000 1.7555
Tc 2.8950 2.8950 4.6854
O 0.0000 0.0000 2.5503
O 1.6129 1.6129 0.5804
O 1.6129 4.1771 0.5804
O 2.8950 2.8950 2.9729
O 4.1771 1.6129 0.5804
O 4.1771 4.1771 0.5804
```


No. 7
A geometry-optimized PmCdTcO6 structure. Source: Alexandria, functional GGA-PBE.

Properties
- crystal system = trigonal
- space-group type = P312 (149)

extended XYZ file:
```
9
Lattice="5.5007 0.0000 0.0000 -2.7504 4.7638 0.0000 0.0000 0.0000 4.9229" Properties=species:S:1:pos:R:3 pbc="T T T"
Pm 0.0000 0.0000 0.0000
Cd 0.0000 3.1758 2.4614
Tc 2.7504 1.5879 2.4614
O 1.9388 0.2554 3.5631
O 1.1906 1.5513 1.3598
O 3.5619 0.2554 1.3598
O 2.0022 2.9570 3.5631
O 4.3101 1.5513 3.5631
O 3.4986 2.9570 1.3598
```


No. 8
A geometry-optimized PmCdTe2O8 structure. Source: Alexandria, functional GGA-PBE.

Properties
- crystal system = tetragonal
- space-group type = I-4m2 (119)

extended XYZ file:
```
12
Lattice="-3.7479 3.7479 3.4242 3.7479 -3.7479 3.4242 3.7479 3.7479 -3.4242" Properties=species:S:1:pos:R:3 pbc="T T T"
Pm 0.0000 0.0000 0.0000
Cd 0.0000 3.7479 1.7121
Te 3.7479 0.0000 1.7121
Te 0.0000 0.0000 3.4242
O 2.3447 0.0000 0.4533
O 5.1510 0.0000 0.4533
O 3.7479 2.3645 -1.2927
O 3.7479 -1.4032 2.9709
O 0.0000 1.3833 2.1315
O 3.7479 1.4032 2.9709
O 2.3645 3.7479 1.2927
O 1.3833 0.0000 4.7169
```


Number 1: formation energy (no corrections) -2.507 eV/atom, uncorrected energy -0.6071 Ry per atom, spin magnetization 1.01 μB/f.u.. Number 2: formation energy (no corrections) -2.281 eV/atom, uncorrected energy -0.5218 Ry per atom, spin magnetization 0.00 μB/f.u.. Number 3: formation energy (no corrections) -1.305 eV/atom, uncorrected energy -0.3899 Ry per atom, spin magnetization 0.00 μB/f.u.. Number 4: formation energy (no corrections) -1.313 eV/atom, uncorrected energy -0.3888 Ry per atom, spin magnetization 0.00 μB/f.u.. Number 5: formation energy (no corrections) -1.724 eV/atom, uncorrected energy -0.5313 Ry per atom, spin magnetization 2.62 μB/f.u.. Number 6: formation energy (no corrections) -1.552 eV/atom, uncorrected energy -0.4573 Ry per atom, spin magnetization 0.00 μB/f.u.. Number 7: formation energy (no corrections) -1.723 eV/atom, uncorrected energy -0.5005 Ry per atom, spin magnetization 0.00 μB/f.u.. Number 8: formation energy (no corrections) -1.390 eV/atom, uncorrected energy -0.4183 Ry per atom, spin magnetization 0.00 μB/f.u..